1.
PBE Y2IrSe, optimized geometry; total DFT energy (no corrections) = -7.440 eV per atom; space-group type = P2/m; raw formation energy = -1122 meV per atom
1.0
-0.707 -1.182 3.202
-1.235 -2.984 -1.374
5.345 -5.895 -0.997
Ir Se Y
1 1 2
direct
0.500 0.250 0.250
0.500 0.750 0.750
0.000 0.983 0.018
0.000 0.517 0.482

2.
PBE PmHoSe2, optimized geometry; total DFT energy (no corrections) = -5.611 eV per atom; space-group type = Fm-3m; raw formation energy = -1537 meV per atom
1.0
5.066 0.000 0.000
2.533 4.387 0.000
2.533 1.462 4.136
Ho Se Pm
1 2 1
direct
0.500 0.500 0.500
0.250 0.250 0.250
0.750 0.750 0.750
0.000 0.000 0.000

3.
PBE SiOs2Pt, optimized geometry; total DFT energy (no corrections) = -8.168 eV per atom; space-group type = Cmm2; raw formation energy = 313 meV per atom
1.0
2.790 -0.020 0.000
-1.358 2.438 0.000
0.000 0.000 8.677
Os Pt Si
2 1 1
direct
0.000 0.000 0.980
0.500 0.500 0.241
0.000 0.000 0.526
0.500 0.500 0.754

4.
PBE Y3AgPd2, optimized geometry; total DFT energy (no corrections) = -6.123 eV per atom; space-group type = Cmmm; formation energy from the elements = -0.68 eV per atom
1.0
-0.560 2.023 2.878
-4.992 -0.396 -0.692
2.387 -5.961 4.654
Y Ag Pd
3 1 2
direct
0.500 0.500 0.000
0.500 0.828 0.657
0.500 0.172 0.343
0.000 0.000 0.000
0.000 0.336 0.672
0.000 0.664 0.328

5.
PBE AlHgN2, optimized geometry; total DFT energy (no corrections) = -5.018 eV per atom; space-group type = I-42d; raw formation energy = 156 meV per atom
1.0
-0.813 -4.513 -1.742
4.016 0.355 -2.794
4.126 -3.848 1.136
N Hg Al
4 2 2
direct
0.552 0.125 0.250
0.198 0.625 0.250
0.375 0.448 0.750
0.875 0.802 0.750
0.000 0.000 0.000
0.750 0.250 0.500
0.500 0.500 0.000
0.250 0.750 0.500

6.
PBE K3Pa2NiS6, optimized geometry; total DFT energy (no corrections) = -5.659 eV per atom; space-group type = C2/m; raw formation energy = -1257 meV per atom
1.0
7.079 -0.276 0.017
-3.777 5.994 0.017
-1.082 -1.874 7.344
K Pa Ni S
3 2 1 6
direct
0.154 0.846 0.500
0.846 0.154 0.500
0.500 0.500 0.500
0.338 0.662 0.000
0.662 0.338 0.000
0.000 0.000 0.000
0.938 0.568 0.787
0.760 0.760 0.173
0.062 0.432 0.213
0.568 0.938 0.787
0.240 0.240 0.827
0.432 0.062 0.213